Ca2GaSiP | PBE-GGA | relaxed Values from VASP.

## Properties
For the density of states at the Fermi level, the calculation gives 1.1 states/eV per cell. As for the crystal system: tetragonal. The value obtained for the total energy is -18.05 eV per cell. Its space group is P4/mmm. The value obtained for the uncorrected formation energy is -0.0371 eV/atom.

Structure (Quantum ESPRESSO input):
```
&SYSTEM
  ibrav = 0, nat = 5, ntyp = 4
/
ATOMIC_SPECIES
Ca 40.08 Ca.upf
Ga 69.72 Ga.upf
Si 28.09 Si.upf
P 30.97 P.upf
CELL_PARAMETERS angstrom
5.581 0.000 0.000
0.000 5.581 0.000
0.000 0.000 4.461
ATOMIC_POSITIONS angstrom
Ca 0.000 2.791 0.000
Ca 2.791 0.000 0.000
Ga 0.000 0.000 2.231
Si 0.000 0.000 0.000
P 2.791 2.791 2.231
```